Entry 1:
## CdGa2Sb2Au7 (PBE)

Data for a geometry-optimized CdGa2Sb2Au7 structure.

extended XYZ file:
```
12
Lattice="4.107 0.025 0.118 0.030 4.107 0.118 2.433 2.431 15.532" Properties=species:S:1:pos:R:3 pbc="T T T"
Cd 0.000 0.000 0.000
Ga 4.609 4.603 11.732
Ga 1.962 1.960 4.035
Sb 3.834 3.830 6.614
Sb 2.737 2.734 9.153
Au 2.069 2.066 0.118
Au 1.748 1.746 6.521
Au 4.823 4.817 9.247
Au 4.059 2.012 2.426
Au 2.017 4.056 2.426
Au 4.554 2.507 13.341
Au 2.513 4.551 13.341
```

The uncorrected formation energy is -78 meV/atom. Its crystal system is monoclinic.

Entry 2:
## Zr2SeCl (PBE)

Data for a geometry-optimized Zr2SeCl structure.

extended XYZ file:
```
4
Lattice="5.526 -0.002 0.005 1.222 5.389 -0.005 -2.178 -4.191 2.867" Properties=species:S:1:pos:R:3 pbc="T T T"
Cl 3.361 -0.750 1.436
Se 1.209 1.945 1.431
Zr 6.736 5.377 0.000
Zr 3.385 2.702 0.000
```

For the energy above the most stable polymorph in this dataset, the calculation gives 1.19 eV/f.u. The uncorrected formation energy is -681 meV/atom. Its crystal system is orthorhombic.

Entry 3:
## PaSnMoRu (PBE)

Data for a geometry-optimized PaSnMoRu structure.

extended XYZ file:
```
4
Lattice="4.758 0.000 0.000 2.379 4.120 0.000 2.379 1.373 3.885" Properties=species:S:1:pos:R:3 pbc="T T T"
Ru 2.379 1.373 0.971
Mo 7.137 4.120 2.914
Pa 0.000 0.000 0.000
Sn 4.758 2.747 1.942
```

The formation energy from the elements comes out at -17.09 kJ/mol of atoms. Its crystal system is cubic.

Entry 4:
## AlRh2 (PBE)

Data for a geometry-optimized AlRh2 structure.

extended XYZ file:
```
12
Lattice="4.782 0.000 -0.003 -2.153 7.740 -0.002 -0.811 0.265 4.598" Properties=species:S:1:pos:R:3 pbc="T T T"
Rh 2.614 2.090 3.230
Rh 0.902 2.394 0.154
Rh 0.891 4.031 2.364
Rh -1.496 4.731 3.475
Rh 1.687 5.090 0.024
Rh -0.649 5.923 1.172
Rh 1.766 6.761 2.227
Rh -0.682 7.325 3.475
Al 1.756 7.872 4.531
Al 2.382 0.636 1.115
Al 0.146 1.513 2.407
Al 3.307 3.404 1.080
```

The formation energy from the elements comes out at -50.11 kJ/mol of atoms. Its crystal system is triclinic.

Entry 5:
## Ni3PS (PBE)

Data for a geometry-optimized Ni3PS structure.

extended XYZ file:
```
10
Lattice="3.704 0.000 0.000 0.000 5.046 -0.917 0.000 -3.576 8.171" Properties=species:S:1:pos:R:3 pbc="T T T"
Ni 2.778 -1.597 4.970
Ni 2.778 0.926 4.558
Ni 0.926 3.068 2.284
Ni 0.926 0.544 2.696
Ni 0.926 1.307 6.338
Ni 2.778 0.164 0.916
P 0.926 -0.343 4.779
P 2.778 1.813 2.475
S 0.926 3.971 0.236
S 2.778 -2.501 7.018
```

For the energy above the most stable polymorph in this dataset, the calculation gives 0.00 eV/f.u. The uncorrected formation energy is -402 meV/atom. Its crystal system is monoclinic.

Entry 6:
## MgZn4W (PBE)

Data for a geometry-optimized MgZn4W structure.

extended XYZ file:
```
6
Lattice="-1.092 -2.235 4.418 -4.778 -0.068 1.693 -2.605 -4.349 0.065" Properties=species:S:1:pos:R:3 pbc="T T T"
Mg -6.356 -4.990 4.632
Zn -3.720 -3.615 4.537
Zn -4.483 -4.681 2.342
Zn -5.579 -2.522 3.163
Zn -3.169 -2.488 2.309
W 0.000 0.000 0.000
```

The formation energy from the elements comes out at 26.86 kJ/mol of atoms. Its crystal system is cubic.

Entry 7:
## Sr2ScH8 (PBE)

Data for a geometry-optimized Sr2ScH8 structure.

extended XYZ file:
```
11
Lattice="-3.747 0.245 -0.163 -0.417 -4.991 2.099 1.999 4.587 4.280" Properties=species:S:1:pos:R:3 pbc="T T T"
Sr -1.928 1.570 3.350
Sr -0.238 -1.729 2.867
Sc -1.874 0.122 -0.082
H -0.170 0.322 4.399
H -2.213 -3.086 2.913
H -2.135 -0.979 4.277
H -0.087 -1.038 0.437
H -0.031 0.820 1.940
H 0.047 2.928 3.303
H -1.996 -0.481 1.817
H -2.079 0.879 5.780
```

Its crystal system is orthorhombic. The total energy is -40.065 eV per cell.

Entry 8:
## K3Pu2FeS6 (PBE)

Data for a geometry-optimized K3Pu2FeS6 structure.

extended XYZ file:
```
12
Lattice="-0.671 6.490 1.591 -4.032 -2.769 -4.602 -3.215 -3.043 6.295" Properties=species:S:1:pos:R:3 pbc="T T T"
K -5.065 -2.708 -0.396
K -2.853 3.386 3.680
K -3.959 0.339 1.642
Pu -2.910 0.321 -2.535
Pu -1.793 3.400 -0.476
Fe 0.000 0.000 0.000
S -5.796 1.853 3.664
S -4.204 2.261 -1.099
S -2.122 -1.175 -0.381
S -6.807 -0.933 1.800
S -3.714 -1.583 4.382
S -1.111 1.611 1.483
```

The uncorrected formation energy is -1177 meV/atom. Its crystal system is monoclinic.

So what do the calculations give for mass density? Going down the list: 11.98; 5.78; 11.92; 9.09; 5.65; 8.46; 3.26; 4.94 Mg/m³.